Here is an optimized crystal structure of BaAl2TlCd from Alexandria. Energies are from PBE.

Energy of formation from the pure elements in meV per atom: 1140.8
Spin magnetization in μB per cell: 0.000
E in eV per atom: -1.397
Density of states at the Fermi level in states/eV/atom: 1.893

Structure (CIF):
```
data_BaAl2TlCd
_chemical_formula_sum 'Ba1 Al2 Tl1 Cd1'
_cell_length_a 6.2183
_cell_length_b 6.2183
_cell_length_c 6.7003
_cell_angle_alpha 90.00
_cell_angle_beta 90.00
_cell_angle_gamma 90.00
_space_group_name_H-M_alt 'P 1'
_space_group_IT_number 1
loop_
_space_group_symop_operation_xyz
'x,y,z'
loop_
_atom_site_label
_atom_site_type_symbol
_atom_site_fract_x
_atom_site_fract_y
_atom_site_fract_z
_atom_site_occupancy
Tl1 Tl 0.0000 0.0000 0.5000 1
Al1 Al 0.0000 0.5000 0.0000 1
Al2 Al 0.5000 0.0000 0.0000 1
Ba1 Ba 0.0000 0.0000 0.0000 1
Cd1 Cd 0.5000 0.5000 0.5000 1
```